[1]
DyPu2Mg | PBE | optimized geometry

Summary:
Energy of formation (eV/atom): 0.16
Total DFT energy (no corrections) (eV/atom): -8.552
Space-group type: P4/mmm (123)
Polymorph energy (0 for the lowest one) (eV/atom): 0.000

Cell: 5.2263 4.5479 4.5479 Å, 90.00 90.00 90.00°
Last column: nearest neighbours and their distance in Å.
Sites, in units of the cell vectors:
1 Mg 0.5000 0.5000 0.5000  4 Dy 3.22, 8 Pu 3.46
2 Dy 0.5000 0.0000 0.0000  4 Mg 3.22, 8 Pu 3.46
3 Pu 0.0000 0.0000 0.5000  4 Pu 3.22, 4 Mg 3.46, 4 Dy 3.46
4 Pu 0.0000 0.5000 0.0000  4 Pu 3.22, 4 Mg 3.46, 4 Dy 3.46


[2]
NdMgPtO4 | PBE | optimized geometry

Summary:
Total DFT energy (no corrections) (eV/atom): -6.502
Formation energy without anion corrections (meV/atom): -1897
Space-group type: Imma (74)

Cell: 6.1217 6.6694 7.0906 Å, 122.11 90.00 117.32°
Last column: nearest neighbours and their distance in Å.
Sites, in units of the cell vectors:
1 Nd 0.5000 0.0000 0.5000  6 O 2.41-2.48
2 Nd 0.5000 0.0000 0.0000  6 O 2.41-2.48
3 Mg 0.7936 0.5872 0.0436  2 O 2.01
4 Mg 0.2064 0.4128 0.9564  2 O 2.01
5 Pt 0.5000 0.5000 0.5000  4 O 2.01
6 Pt 0.0000 0.5000 0.5000  4 O 2.01
7 O 0.7560 0.5120 0.6887  2 Pt 2.01
8 O 0.1841 0.8082 0.1541  1 Mg 2.01
9 O 0.6241 0.8082 0.1541  1 Mg 2.01
10 O 0.7560 0.5120 0.3233  2 Pt 2.01
11 O 0.2440 0.4880 0.6767  2 Pt 2.01
12 O 0.8159 0.1918 0.8459  1 Mg 2.01
13 O 0.3759 0.1918 0.8459  1 Mg 2.01
14 O 0.2440 0.4880 0.3113  2 Pt 2.01


[3]
NdSm5Zn6 | PBE | optimized geometry

Summary:
Energy of formation (eV/atom): -0.32
Total DFT energy (no corrections) (eV/atom): -3.317
Space-group type: Cmmm (65)

Cell: 5.1496 7.3046 8.1535 Å, 90.00 71.59 90.00°
Last column: nearest neighbours and their distance in Å.
Sites, in units of the cell vectors:
1 Zn 0.8322 0.7482 0.3356  7 Sm 3.14-3.17, 1 Nd 3.18
2 Zn 0.8322 0.2518 0.3356  7 Sm 3.14-3.17, 1 Nd 3.18
3 Zn 0.5000 0.2524 0.0000  6 Sm 3.14-3.18, 2 Nd 3.17
4 Zn 0.5000 0.7476 0.0000  6 Sm 3.14-3.18, 2 Nd 3.17
5 Zn 0.1678 0.7482 0.6644  7 Sm 3.14-3.17, 1 Nd 3.18
6 Zn 0.1678 0.2518 0.6644  7 Sm 3.14-3.17, 1 Nd 3.18
7 Nd 0.0000 0.0000 0.0000  8 Zn 3.17-3.18
8 Sm 0.6662 0.5000 0.6677  8 Zn 3.14-3.15
9 Sm 0.3329 0.0000 0.3342  8 Zn 3.15-3.18
10 Sm 0.0000 0.5000 0.0000  8 Zn 3.15-3.17
11 Sm 0.6671 0.0000 0.6658  8 Zn 3.15-3.18
12 Sm 0.3338 0.5000 0.3323  8 Zn 3.14-3.15


[4]
Ti2BrO2 | PBE | optimized geometry

Summary:
Total DFT energy (no corrections) (eV/atom): -6.783
Formation energy without anion corrections (meV/atom): -1307
Space-group type: P4/mbm (127)
Polymorph energy (0 for the lowest one) (eV/atom): 0.669

Cell: 6.9068 6.9068 2.8500 Å, 90.00 90.00 90.00°
Last column: nearest neighbours and their distance in Å.
Sites, in units of the cell vectors:
1 O 0.3846 0.8846 0.0000  4 Ti 2.17, 1 O 2.26
2 O 0.8846 0.6154 0.0000  4 Ti 2.17, 1 O 2.26
3 O 0.6154 0.1154 0.0000  4 Ti 2.17, 1 O 2.26
4 O 0.1154 0.3846 0.0000  4 Ti 2.17, 1 O 2.26
5 Br 0.0000 0.0000 0.0000  4 O 2.77, 2 Br 2.85, 8 Ti 3.09
6 Br 0.5000 0.5000 0.0000  4 O 2.77, 2 Br 2.85, 8 Ti 3.09
7 Ti 0.1223 0.6223 0.5000  4 O 2.17, 1 Ti 2.39
8 Ti 0.6223 0.8777 0.5000  4 O 2.17, 1 Ti 2.39
9 Ti 0.8777 0.3777 0.5000  4 O 2.17, 1 Ti 2.39
10 Ti 0.3777 0.1223 0.5000  4 O 2.17, 1 Ti 2.39


[5]
RbAl3Br | PBE | optimized geometry

Summary:
Total DFT energy (no corrections) (eV/atom): -1.436
Formation energy without anion corrections (meV/atom): 1337
Space-group type: Pm-3m (221)
Polymorph energy (0 for the lowest one) (eV/atom): 0.759

Cell: 6.4215 6.4215 6.4215 Å, 90.00 90.00 90.00°
Last column: nearest neighbours and their distance in Å.
Sites, in units of the cell vectors:
1 Br 0.5000 0.5000 0.5000  12 Al 4.54
2 Rb 0.0000 0.0000 0.0000  6 Al 3.21
3 Al 0.0000 0.5000 0.0000  2 Rb 3.21
4 Al 0.0000 0.0000 0.5000  2 Rb 3.21
5 Al 0.5000 0.0000 0.0000  2 Rb 3.21


[6]
TbSmSbSe | PBE | optimized geometry

Summary:
Total DFT energy (no corrections) (eV/atom): -5.700
Formation energy without anion corrections (meV/atom): -1461
Space-group type: P4/mmm (123)

Cell: 4.3105 4.3103 6.0643 Å, 90.00 90.00 90.00°
Last column: nearest neighbours and their distance in Å.
Sites, in units of the cell vectors:
1 Tb 0.0000 0.8915 0.5924  2 Sb 3.03, 4 Se 3.05
2 Sm 0.5000 0.3915 0.0924  2 Se 3.03, 4 Sb 3.05
3 Sb 0.0000 0.8915 0.0925  2 Tb 3.03, 4 Sm 3.05
4 Se 0.5000 0.3916 0.5924  2 Sm 3.03, 4 Tb 3.05


[7]
RbBiS2N | PBE | optimized geometry

Summary:
Total DFT energy (no corrections) (eV/atom): -3.923
Formation energy without anion corrections (meV/atom): 363
Space-group type: P4/mmm (123)
Polymorph energy (0 for the lowest one) (eV/atom): 0.000

Cell: 5.3750 5.3750 4.7621 Å, 90.00 90.00 90.00°
Last column: nearest neighbours and their distance in Å.
Sites, in units of the cell vectors:
1 S 0.0000 0.5000 0.0000  2 Bi 2.69
2 S 0.5000 0.0000 0.0000  2 Bi 2.69
3 Bi 0.0000 0.0000 0.0000  2 N 2.38
4 Rb 0.5000 0.5000 0.5000  8 S 3.59, 4 N 3.80
5 N 0.0000 0.0000 0.5000  2 Bi 2.38


[8]
TiAlCuS4 | PBE | optimized geometry

Summary:
Total DFT energy (no corrections) (eV/atom): -5.604
Formation energy without anion corrections (meV/atom): -998
Space-group type: Imma (74)

Cell: 6.9887 7.1026 7.1026 Å, 59.94 60.53 60.53°
Last column: nearest neighbours and their distance in Å.
Sites, in units of the cell vectors:
1 Ti 0.5000 0.0000 0.5000  6 S 2.44-2.46
2 Ti 0.0000 0.0000 0.5000  6 S 2.44-2.46
3 Al 0.0000 0.0000 0.0000  6 S 2.41-2.48
4 Al 0.0000 0.5000 0.5000  6 S 2.41-2.48
5 Cu 0.6228 0.6272 0.1272  4 S 2.28-2.29
6 Cu 0.3772 0.3728 0.8728  4 S 2.28-2.29
7 S 0.7551 0.7547 0.7351  1 Cu 2.28, 2 Ti 2.44, 1 Al 2.48
8 S 0.2449 0.7649 0.7453  1 Cu 2.28, 2 Ti 2.44, 1 Al 2.48
9 S 0.7551 0.2351 0.2547  1 Cu 2.28, 2 Ti 2.44, 1 Al 2.48
10 S 0.2449 0.2453 0.2649  1 Cu 2.28, 2 Ti 2.44, 1 Al 2.48
11 S 0.2255 0.7575 0.2575  1 Cu 2.29, 2 Al 2.41, 1 Ti 2.46
12 S 0.7596 0.7575 0.2575  1 Cu 2.29, 2 Al 2.41, 1 Ti 2.46
13 S 0.2404 0.2425 0.7425  1 Cu 2.29, 2 Al 2.41, 1 Ti 2.46
14 S 0.7745 0.2425 0.7425  1 Cu 2.29, 2 Al 2.41, 1 Ti 2.46


[9]
Al2VAgRu | PBE | optimized geometry

Summary:
Energy of formation (eV/atom): 0.80
Total DFT energy (no corrections) (eV/atom): -4.950
Space-group type: P4/mmm (123)

Cell: 4.7876 4.7876 4.3133 Å, 90.00 90.00 90.00°
Last column: nearest neighbours and their distance in Å.
Sites, in units of the cell vectors:
1 Ru 0.0000 0.0000 0.5000  2 V 2.16
2 Al 0.0000 0.5000 0.0000  2 V 2.39
3 Al 0.5000 0.0000 0.0000  2 V 2.39
4 Ag 0.5000 0.5000 0.5000  8 Al 3.22, 4 Ru 3.39
5 V 0.0000 0.0000 0.0000  2 Ru 2.16, 4 Al 2.39


[10]
NdDy5YTm2 | PBE | optimized geometry

Summary:
Energy of formation (eV/atom): 0.16
Total DFT energy (no corrections) (eV/atom): -4.637
Space-group type: Cmc2_1 (36)

Cell: 5.5924 10.2709 10.5717 Å, 90.00 90.00 105.80°
Last column: nearest neighbours and their distance in Å.
Sites, in units of the cell vectors:
1 Nd 0.5840 0.1679 0.9514  5 Dy 3.04-3.26
2 Nd 0.4160 0.8321 0.4514  5 Dy 3.04-3.26
3 Dy 0.3887 0.7774 0.0230  6 Dy 3.47-3.79, 4 Tm 3.53-3.59, 1 Y 3.73
4 Dy 0.7180 0.4360 0.8111  1 Nd 3.04, 1 Tm 3.32, 2 Dy 3.39
5 Dy 0.4783 0.9567 0.7372  2 Nd 3.08-3.26, 2 Tm 3.45
6 Dy 0.2986 0.5973 0.7099  4 Dy 3.39-3.76, 3 Tm 3.48-3.72, 3 Y 3.49-3.74, 1 Nd 3.58
7 Dy 0.9821 0.9642 0.5243  2 Nd 3.18, 3 Tm 3.38-3.56
8 Dy 0.6113 0.2226 0.5230  6 Dy 3.47-3.79, 4 Tm 3.53-3.59, 1 Y 3.73
9 Dy 0.2820 0.5640 0.3111  1 Nd 3.04, 1 Tm 3.32, 2 Dy 3.39
10 Dy 0.5217 0.0433 0.2372  2 Nd 3.08-3.26, 2 Tm 3.45
11 Dy 0.7014 0.4027 0.2099  4 Dy 3.39-3.76, 3 Tm 3.48-3.72, 3 Y 3.49-3.74, 1 Nd 3.58
12 Dy 0.0179 0.0358 0.0243  2 Nd 3.18, 3 Tm 3.38-3.56
13 Y 0.7999 0.5999 0.5123  2 Tm 3.42-3.66, 8 Dy 3.49-3.74, 2 Nd 3.67
14 Y 0.2001 0.4001 0.0123  2 Tm 3.42-3.66, 8 Dy 3.49-3.74, 2 Nd 3.67
15 Tm 0.8860 0.7719 0.8192  9 Dy 3.32-3.65, 1 Y 3.66
16 Tm 0.1107 0.2214 0.7356  7 Dy 3.38-3.72, 1 Y 3.42, 2 Nd 3.65
17 Tm 0.1140 0.2281 0.3192  9 Dy 3.32-3.65, 1 Y 3.66
18 Tm 0.8893 0.7786 0.2356  7 Dy 3.38-3.72, 1 Y 3.42, 2 Nd 3.65